1.
Computed, not measured: a relaxed PbC2 crystal at the PBE-GGA level of DFT.

The calculation puts the spin magnetization at 0.00 μB/cell. The density of states at the Fermi level comes out at 1.772 states/eV/cell. The calculation puts the formation energy at 1580 meV per atom. For the energy above the most stable polymorph in this dataset, the calculation gives 1198 meV/atom.

It has space group P4/nmm (No. 129, origin choice 2), with a = 3.058 Å, b = 3.058 Å, c = 10.023 Å, α = 90.00°, β = 90.00° and γ = 90.00°. The inequivalent atoms are Pb at (0.250, 0.250, 0.187), C at (0.250, 0.250, 0.429) and C at (0.250, 0.750, 0.500).

---

2.
Computed, not measured: a relaxed Pb3C crystal at the PBE-GGA level of DFT.

The calculation puts the spin magnetization at 0.00 μB/cell. The density of states at the Fermi level comes out at 2.877 states/eV/cell. The calculation puts the formation energy at 925 meV per atom. For the energy above the most stable polymorph in this dataset, the calculation gives 226 meV/atom.

It has space group P6_3/mmc (No. 194), with a = 8.8551 Å, b = 8.8551 Å, c = 3.3761 Å, α = 90.00°, β = 90.00° and γ = 120.00°. The inequivalent atoms are Pb at (0.2087, 0.4174, 0.2500) and C at (0.3333, 0.6667, 0.7500).

---

3.
Computed, not measured: a relaxed PbC2 crystal at the PBE-GGA level of DFT.

The calculation puts the spin magnetization at 2.38 μB/cell. The density of states at the Fermi level comes out at 6.299 states/eV/cell. The calculation puts the formation energy at 1866 meV per atom. For the energy above the most stable polymorph in this dataset, the calculation gives 1484 meV/atom.

It has space group P6_3/mmc (No. 194), with a = 4.5234 Å, b = 4.5234 Å, c = 12.0836 Å, α = 90.00°, β = 90.00° and γ = 120.00°. The inequivalent atoms are Pb at (0.3333, 0.6667, 0.1083), C at (0.0000, 0.0000, 0.0000) and C at (0.1042, 0.2085, 0.2500).